{"formula": "AcZn3Co4O12", "functional": "PBE with a Hubbard U", "state": "optimized geometry", "lattice_angstrom": [[6.438, 0.000, 0.000], [-2.146, 6.070, 0.000], [-2.146, -3.035, 5.257]], "species": ["O", "O", "O", "O", "O", "O", "O", "O", "O", "O", "O", "O", "Zn", "Zn", "Zn", "Ac", "Co", "Co", "Co", "Co"], "fractional_positions": [[0.304, 0.188, 0.491], [0.884, 0.696, 0.188], [0.491, 0.304, 0.188], [0.812, 0.509, 0.696], [0.304, 0.812, 0.116], [0.812, 0.116, 0.304], [0.696, 0.188, 0.884], [0.188, 0.491, 0.304], [0.696, 0.812, 0.509], [0.116, 0.304, 0.812], [0.509, 0.696, 0.812], [0.188, 0.884, 0.696], [0.500, 0.000, 0.500], [0.500, 0.500, 0.000], [0.000, 0.500, 0.500], [0.000, 0.000, 0.000], [0.500, 0.500, 0.500], [0.000, 0.500, 0.000], [0.500, 0.000, 0.000], [0.000, 0.000, 0.500]], "space_group": "Im-3", "energy_ev_per_atom": -5.5966, "dos_ef_per_ev_cell": 14.07}